VASP calculation (PBE) on an optimized crystal structure of La2CoHg.

Lattice parameters (Å, degrees): 4.783 4.012 6.024 90.00 113.33 90.00
Space group Pm (No. 6)
One atom of each set of equivalent atoms:
La1 0.000 0.000 0.000
La2 0.309 0.500 0.618
Co1 0.791 0.000 0.575
Hg1 0.608 0.500 0.216

## Properties
- VASP energy: -4.5333 eV/atom
- E_form: -218 meV/atom

---

VASP calculation (PBE) on an optimized crystal structure of Ti2CoReH.

Lattice parameters (Å, degrees): 4.776 4.776 4.416 90.00 90.00 90.00
Space group P4/mmm (No. 123)
One atom of each set of equivalent atoms:
Ti1 0.000 0.500 0.000
Co1 0.000 0.000 0.500
Re1 0.000 0.000 0.000
H1 0.500 0.500 0.500

## Properties
- VASP energy: -6.3359 eV/atom

---

VASP calculation (PBE) on an optimized crystal structure of Tm3Cd2Au3.

Lattice parameters (Å, degrees): 8.6086 8.6086 5.7704 90.00 90.00 120.00
Space group P6_3/mcm (No. 193)
One atom of each set of equivalent atoms:
Tm1 0.0000 0.2773 0.2500
Cd1 0.3333 0.6667 0.0000
Au1 0.0000 0.3748 0.7500

## Properties
- VASP energy: -3.8064 eV/atom
- E_form: -672 meV/atom

---

Among the records above, which one has the highest VASP energy? Tm3Cd2Au3

---

VASP energy of number 2 (Ti2CoReH)? -6.3359 eV/atom

---

Which formula does entry 1 have? La2CoHg